Ca2Al2FeSi4BO16 after structural relaxation. Source: Alexandria, functional PBE+U.

Unit cell a=7.274 b=9.069 c=9.113 alpha=88.08 beta=77.36 gamma=81.20
Space group P-1 (No. 2)
Asymmetric unit:
Ca1 0.172 0.400 0.092
Ca2 0.238 0.883 0.672
Al1 0.055 0.239 0.813
Al2 0.342 0.086 0.942
Fe1 0.233 0.624 0.383
Si1 0.212 0.272 0.448
Si2 0.219 0.980 0.273
Si3 0.296 0.512 0.733
Si4 0.350 0.737 0.983
B1 0.465 0.212 0.631
O1 0.021 0.934 0.253
O2 0.047 0.310 0.602
O3 0.103 0.191 0.996
O4 0.120 0.439 0.834
O5 0.141 0.142 0.361
O6 0.209 0.675 0.137
O7 0.230 0.418 0.340
O8 0.232 0.623 0.601
O9 0.281 0.894 0.905
O10 0.321 0.854 0.385
O11 0.330 0.144 0.738
O12 0.372 0.609 0.850
O13 0.385 0.003 0.129
O14 0.424 0.203 0.480
O15 0.443 0.263 0.981
O16 0.474 0.376 0.664

Output
The total energy is -195.73 eV/f.u. The total magnetization is 10.09 Bohr magnetons per cell.